[1]
TmHfTc4, relaxed, DFT PBE; ΔE_f = -247 meV per atom; space group = F-43m
1.0
0.000 3.752 3.752
3.752 0.000 3.752
3.752 3.752 0.000
Tm Hf Tc
1 1 4
Cartesian
0.000 0.000 0.000
5.627 5.627 5.627
2.816 2.816 2.816
4.688 4.688 2.816
4.688 2.816 4.688
2.816 4.688 4.688

---

[2]
BaIr2Rh, relaxed, DFT PBE; ΔE_f = 732 meV per atom; energy relative to the lowest polymorph listed for this composition = 765.2 meV per atom; space group = Pmmm
1.0
2.963 0.000 0.000
0.000 4.884 0.000
0.000 0.000 5.285
Ba Ir Rh
1 2 1
Cartesian
0.000 0.000 0.000
0.000 2.442 2.642
1.482 0.000 2.642
1.482 2.442 0.000

---

[3]
AlPdS3, relaxed, DFT PBE; energy relative to the lowest polymorph listed for this composition = 0.0 meV per atom; space group = Pm-3m
1.0
4.571 0.000 0.000
0.000 4.571 0.000
0.000 0.000 4.571
Al Pd S
1 1 3
Cartesian
0.000 0.000 0.000
2.285 2.285 2.285
0.000 0.000 2.285
0.000 2.285 0.000
2.285 0.000 0.000

---

[4]
U2BiSe2O2, relaxed, DFT PBE; raw total energy = -55.27 eV/cell; space group = P-3m1
1.0
3.749 0.000 0.000
-1.874 3.246 0.000
0.000 0.000 13.732
U Bi Se O
2 1 2 2
Cartesian
0.000 2.164 3.711
1.874 1.082 10.022
0.000 0.000 6.866
0.000 0.000 1.871
0.000 0.000 11.861
0.000 2.164 9.563
1.874 1.082 4.170

---

[5]
Dy5YEr6, relaxed, DFT PBE; ΔE_f = 21 meV per atom; space group = C2/m
1.0
3.056 -5.285 0.000
3.056 5.285 0.000
-2.028 0.000 11.503
Dy Y Er
5 1 6
Cartesian
0.000 0.000 0.000
2.042 3.524 5.751
3.056 1.761 0.000
3.056 -1.761 0.000
2.042 -3.524 5.751
2.042 0.000 5.751
1.022 1.765 2.872
0.000 0.000 8.632
1.022 -1.765 2.872
3.062 1.765 8.631
4.084 0.000 2.871
3.062 -1.765 8.631

---

[6]
Cr2ReCl, relaxed, DFT PBE; energy relative to the lowest polymorph listed for this composition = 325.5 meV per atom; space group = Cmm2
1.0
2.981 0.000 0.000
0.000 4.715 0.000
0.000 0.000 9.051
Cr Re Cl
4 2 2
Cartesian
0.000 0.000 0.000
0.000 2.357 1.950
1.490 0.000 1.950
1.490 2.357 0.000
0.000 2.357 7.144
1.490 0.000 7.144
0.000 0.000 3.751
1.490 2.357 3.751

---

[7]
Sc2FeCl, relaxed, DFT PBE; energy relative to the lowest polymorph listed for this composition = 650.3 meV per atom; space group = R-3m
1.0
3.189 0.000 0.000
-1.594 2.762 0.000
0.000 0.000 25.907
Sc Fe Cl
6 3 3
Cartesian
0.000 0.000 2.243
0.000 0.000 23.664
0.000 1.841 15.029
0.000 1.841 19.514
1.594 0.921 6.393
1.594 0.921 10.879
0.000 0.000 0.000
0.000 1.841 17.271
1.594 0.921 8.636
0.000 0.000 12.954
0.000 1.841 4.318
1.594 0.921 21.589

---

[8]
Nd2Tc3Ge5, relaxed, DFT PBE; ΔE_f = -489 meV per atom; space group = Ibam
1.0
-5.016 6.440 2.922
5.016 -6.440 2.922
5.016 6.440 -2.922
Nd Tc Ge
4 6 10
Cartesian
2.382 1.741 0.000
2.382 -1.741 2.922
2.633 8.181 0.000
2.633 4.699 2.922
4.158 -4.518 2.922
5.016 0.000 1.461
4.158 4.518 0.000
0.858 1.922 2.922
0.000 6.440 1.461
0.858 10.958 0.000
5.016 -2.668 1.461
6.832 1.179 0.000
0.000 0.000 1.461
1.816 5.261 0.000
5.016 2.668 1.461
0.000 3.772 1.461
3.199 1.179 2.922
0.000 0.000 4.384
-1.816 5.261 2.922
0.000 9.108 1.461